Entry 1:
The following is a DFT calculation (PBE) of an optimized crystal structure of Ce3Hg.

Results
crystal system = orthorhombic
ΔE_f = -3.02 kcal/mol of atoms
DOS at the Fermi energy = 11.70 states/eV per cell

Unit cell a=3.304 b=5.580 c=5.580 alpha=90.00 beta=90.00 gamma=90.00
Space group Pmm2 (No. 25)
Asymmetric unit:
Ce (0.000, 0.000, 0.000) (multiplicity 1)
Ce (0.000, 0.500, 0.500) (multiplicity 1)
Ce (0.500, 0.000, 0.501) (multiplicity 1)
Hg (0.500, 0.500, 0.999) (multiplicity 1)

***

Entry 2:
The following is a DFT calculation (PBE) of an optimized crystal structure of CeHg4.

Results
energy relative to the lowest polymorph listed for this composition = 0.609 eV/atom
crystal system = cubic
ΔE_f = 9.24 kcal/mol of atoms
DOS at the Fermi energy = 14.31 states/eV per cell

Unit cell a=6.235 b=6.235 c=6.235 alpha=90.00 beta=90.00 gamma=90.00
Space group Pm-3m (No. 221)
Asymmetric unit:
Ce (0.000, 0.000, 0.000) (multiplicity 1)
Hg (0.000, 0.000, 0.500) (multiplicity 3)
Hg (0.500, 0.500, 0.500) (multiplicity 1)

***

Entry 3:
The following is a DFT calculation (PBE) of an optimized crystal structure of Ce2Hg13.

Results
energy relative to the lowest polymorph listed for this composition = 0.000 eV/atom
crystal system = triclinic
ΔE_f = -1.72 kcal/mol of atoms
DOS at the Fermi energy = 20.65 states/eV per cell

Unit cell a=8.348 b=8.357 c=8.478 alpha=119.38 beta=90.10 gamma=119.91
Space group P-1 (No. 2)
Asymmetric unit:
Ce (0.149, 0.297, 0.446) (multiplicity 2)
Hg (0.000, 0.000, 0.000) (multiplicity 1)
Hg (0.143, 0.676, 0.819) (multiplicity 2)
Hg (0.144, 0.288, 0.821) (multiplicity 2)
Hg (0.310, 0.980, 0.290) (multiplicity 2)
Hg (0.311, 0.622, 0.293) (multiplicity 2)
Hg (0.329, 0.019, 0.708) (multiplicity 2)
Hg (0.468, 0.324, 0.180) (multiplicity 2)

***

Entry 4:
The following is a DFT calculation (PBE) of an optimized crystal structure of Ce3Hg2.

Results
crystal system = tetragonal
ΔE_f = -4.54 kcal/mol of atoms
DOS at the Fermi energy = 30.74 states/eV per cell

Unit cell a=7.715 b=7.715 c=4.546 alpha=90.00 beta=90.00 gamma=90.00
Space group P4/m (No. 83)
Asymmetric unit:
Ce (0.000, 0.000, 0.000) (multiplicity 1)
Ce (0.098, 0.677, 0.500) (multiplicity 4)
Ce (0.500, 0.500, 0.500) (multiplicity 1)
Hg (0.209, 0.386, 0.000) (multiplicity 4)

***

Number 1: E_tot -4.6569 eV/atom, magnetization 0.531 Bohr magnetons per cell, volume 103 Å³ per cell. Number 2: E_tot -1.0276 eV/atom, magnetization 2.792 Bohr magnetons per cell, volume 242 Å³ per cell. Number 3: E_tot -1.1274 eV/atom, magnetization 2.163 Bohr magnetons per cell, volume 422 Å³ per cell. Number 4: E_tot -3.8779 eV/atom, magnetization 7.335 Bohr magnetons per cell, volume 271 Å³ per cell.